# Tl2InCuCl6

A relaxed structure of Tl2InCuCl6 (GGA-PBE, OQMD).

## Properties
The value obtained for the density is 5.16 Mg/m³. As for the energy above the most stable polymorph in this dataset: 8.2 meV per atom. The value obtained for the total energy is -3.14 eV per atom. Its symmetry is Fm-3m, No. 225.

a = 7.1407 Å, b = 7.1407 Å, c = 7.1407 Å
α = 60.00°, β = 60.00°, γ = 60.00°
Fractional positions:
Tl  0.2500  0.2500  0.2500
Tl  0.7500  0.7500  0.7500
In  0.0000  0.0000  0.0000
Cu  0.5000  0.5000  0.5000
Cl  0.2543  0.2543  0.7457
Cl  0.2543  0.7457  0.2543
Cl  0.2543  0.7457  0.7457
Cl  0.7457  0.2543  0.2543
Cl  0.7457  0.2543  0.7457
Cl  0.7457  0.7457  0.2543

=====

# TbGe3C

A relaxed structure of TbGe3C (GGA-PBE, OQMD).

## Properties
The value obtained for the density is 7.18 Mg/m³. The value obtained for the total energy is -5.00 eV per atom. Its symmetry is Pm-3m, No. 221.

a = 4.4794 Å, b = 4.4794 Å, c = 4.4794 Å
α = 90.00°, β = 90.00°, γ = 90.00°
Fractional positions:
Tb  0.0000  0.0000  0.0000
Ge  0.0000  0.5000  0.5000
Ge  0.5000  0.0000  0.5000
Ge  0.5000  0.5000  0.0000
C  0.5000  0.5000  0.5000

=====

# GdPaOs

A relaxed structure of GdPaOs (GGA-PBE, OQMD).

## Properties
The value obtained for the density is 12.37 Mg/m³. As for the energy above the most stable polymorph in this dataset: 0.0 meV per atom. The value obtained for the total energy is -8.45 eV per atom. Its symmetry is F-43m, No. 216. As for the calculated formation energy: 0.0053 eV/atom.

a = 6.7731 Å, b = 6.7731 Å, c = 6.7731 Å
α = 90.00°, β = 90.00°, γ = 90.00°
Fractional positions:
Gd  0.0000  0.0000  0.0000
Gd  0.0000  0.5000  0.5000
Gd  0.5000  0.0000  0.5000
Gd  0.5000  0.5000  0.0000
Pa  0.0000  0.0000  0.5000
Pa  0.0000  0.5000  0.0000
Pa  0.5000  0.0000  0.0000
Pa  0.5000  0.5000  0.5000
Os  0.2500  0.2500  0.2500
Os  0.2500  0.7500  0.7500
Os  0.7500  0.2500  0.7500
Os  0.7500  0.7500  0.2500

=====

# Sm2Y2CBr5

A relaxed structure of Sm2Y2CBr5 (GGA-PBE, OQMD).

## Properties
The value obtained for the density is 5.25 Mg/m³. As for the energy above the most stable polymorph in this dataset: 0.0 meV per atom. The value obtained for the total energy is -5.44 eV per atom. Its symmetry is C2/m, No. 12.

a = 9.1797 Å, b = 9.1797 Å, c = 8.3012 Å
α = 102.67°, β = 102.67°, γ = 24.37°
Fractional positions:
Sm  0.0011  0.0011  0.2958
Sm  0.9989  0.9989  0.7042
Y  0.3621  0.3621  0.4281
Y  0.6379  0.6379  0.5719
C  0.5000  0.5000  0.5000
Br  0.1665  0.1665  0.8328
Br  0.1727  0.1727  0.3379
Br  0.5000  0.5000  0.0000
Br  0.8273  0.8273  0.6621
Br  0.8335  0.8335  0.1672

=====

# Sr2CdCoH6

A relaxed structure of Sr2CdCoH6 (GGA-PBE, OQMD).

## Properties
The value obtained for the density is 5.03 Mg/m³. The value obtained for the total energy is -3.46 eV per atom. Its symmetry is Fm-3m, No. 225.

a = 5.4795 Å, b = 5.4795 Å, c = 5.4795 Å
α = 60.00°, β = 60.00°, γ = 60.00°
Fractional positions:
Sr  0.2500  0.2500  0.2500
Sr  0.7500  0.7500  0.7500
Cd  0.0000  0.0000  0.0000
Co  0.5000  0.5000  0.5000
H  0.2908  0.2908  0.7092
H  0.2908  0.7092  0.2908
H  0.2908  0.7092  0.7092
H  0.7092  0.2908  0.2908
H  0.7092  0.2908  0.7092
H  0.7092  0.7092  0.2908

=====

# Sm2Ta2Br2O7

A relaxed structure of Sm2Ta2Br2O7 (GGA-PBE, OQMD).

## Properties
The value obtained for the density is 8.07 Mg/m³. The value obtained for the total energy is -8.33 eV per atom. Its symmetry is C2/m, No. 12.

a = 7.9474 Å, b = 7.9474 Å, c = 6.9435 Å
α = 112.84°, β = 112.84°, γ = 28.60°
Fractional positions:
Sm  0.1907  0.1907  0.1547
Sm  0.8093  0.8093  0.8453
Ta  0.4658  0.4658  0.2017
Ta  0.5342  0.5342  0.7983
Br  0.1733  0.1733  0.5629
Br  0.8267  0.8267  0.4371
O  0.0455  0.0455  0.8386
O  0.3244  0.3244  0.0671
O  0.4185  0.4185  0.8487
O  0.5000  0.5000  0.5000
O  0.5815  0.5815  0.1513
O  0.6756  0.6756  0.9329
O  0.9545  0.9545  0.1614

=====

# TbGeMo

A relaxed structure of TbGeMo (GGA-PBE, OQMD).

## Properties
The value obtained for the density is 8.26 Mg/m³. The value obtained for the total energy is -6.61 eV per atom. Its symmetry is F-43m, No. 216.

a = 6.4104 Å, b = 6.4104 Å, c = 6.4104 Å
α = 90.00°, β = 90.00°, γ = 90.00°
Fractional positions:
Tb  0.0000  0.0000  0.0000
Tb  0.0000  0.5000  0.5000
Tb  0.5000  0.0000  0.5000
Tb  0.5000  0.5000  0.0000
Ge  0.2500  0.2500  0.7500
Ge  0.2500  0.7500  0.2500
Ge  0.7500  0.2500  0.2500
Ge  0.7500  0.7500  0.7500
Mo  0.0000  0.0000  0.5000
Mo  0.0000  0.5000  0.0000
Mo  0.5000  0.0000  0.0000
Mo  0.5000  0.5000  0.5000

=====

# YCoSn2

A relaxed structure of YCoSn2 (GGA-PBE, OQMD).

## Properties
The value obtained for the density is 7.46 Mg/m³. The value obtained for the total energy is -5.40 eV per atom. Its symmetry is F-43m, No. 216.

a = 6.9994 Å, b = 6.9994 Å, c = 6.9994 Å
α = 90.00°, β = 90.00°, γ = 90.00°
Fractional positions:
Y  0.0000  0.0000  0.0000
Y  0.0000  0.5000  0.5000
Y  0.5000  0.0000  0.5000
Y  0.5000  0.5000  0.0000
Co  0.2500  0.2500  0.2500
Co  0.2500  0.7500  0.7500
Co  0.7500  0.2500  0.7500
Co  0.7500  0.7500  0.2500
Sn  0.0000  0.0000  0.5000
Sn  0.0000  0.5000  0.0000
Sn  0.2500  0.2500  0.7500
Sn  0.2500  0.7500  0.2500
Sn  0.5000  0.0000  0.0000
Sn  0.5000  0.5000  0.5000
Sn  0.7500  0.2500  0.2500
Sn  0.7500  0.7500  0.7500

=====

# Cs2OsO5

A relaxed structure of Cs2OsO5 (GGA-PBE, OQMD).

## Properties
The value obtained for the density is 5.38 Mg/m³. The value obtained for the total energy is -5.96 eV per atom. Its symmetry is P4/mmm, No. 123.

a = 6.5369 Å, b = 6.5369 Å, c = 3.8709 Å
α = 90.00°, β = 90.00°, γ = 90.00°
Fractional positions:
Cs  0.0000  0.5000  0.0000
Cs  0.5000  0.0000  0.0000
Os  0.0000  0.0000  0.5000
O  0.0000  0.0000  0.0000
O  0.1991  0.1991  0.5000
O  0.1991  0.8009  0.5000
O  0.8009  0.1991  0.5000
O  0.8009  0.8009  0.5000

=====

# PaZnO3

A relaxed structure of PaZnO3 (GGA-PBE, OQMD).

## Properties
The value obtained for the density is 8.53 Mg/m³. The value obtained for the total energy is -7.20 eV per atom. Its symmetry is R-3, No. 148.

a = 5.8030 Å, b = 5.8030 Å, c = 5.8030 Å
α = 58.70°, β = 58.70°, γ = 58.70°
Fractional positions:
Pa  0.1344  0.1344  0.1344
Pa  0.8656  0.8656  0.8656
Zn  0.3597  0.3597  0.3597
Zn  0.6403  0.6403  0.6403
O  0.0544  0.7238  0.4701
O  0.2762  0.5299  0.9456
O  0.4701  0.0544  0.7238
O  0.5299  0.9456  0.2762
O  0.7238  0.4701  0.0544
O  0.9456  0.2762  0.5299

=====

# InIr15

A relaxed structure of InIr15 (GGA-PBE, OQMD).

## Properties
The value obtained for the density is 14.99 Mg/m³. As for the energy above the most stable polymorph in this dataset: 0.0 meV per atom. The value obtained for the total energy is -8.40 eV per atom. Its symmetry is Pmma, No. 51.

a = 3.8654 Å, b = 3.8648 Å, c = 44.4626 Å
α = 90.00°, β = 90.00°, γ = 90.00°
Fractional positions:
In  0.2500  0.0000  0.1613
In  0.7500  0.0000  0.8387
Ir  0.2500  0.0000  0.2596
Ir  0.2500  0.0000  0.3473
Ir  0.2500  0.0000  0.4344
Ir  0.2500  0.0000  0.5219
Ir  0.2500  0.0000  0.6091
Ir  0.2500  0.0000  0.6965
Ir  0.2500  0.0000  0.7830
Ir  0.2500  0.5000  0.2170
Ir  0.2500  0.5000  0.3035
Ir  0.2500  0.5000  0.3908
Ir  0.2500  0.5000  0.4782
Ir  0.2500  0.5000  0.5655
Ir  0.2500  0.5000  0.6528
Ir  0.2500  0.5000  0.7402
Ir  0.2500  0.5000  0.8255
Ir  0.7500  0.0000  0.2170
Ir  0.7500  0.0000  0.3035
Ir  0.7500  0.0000  0.3909
Ir  0.7500  0.0000  0.4781
Ir  0.7500  0.0000  0.5656
Ir  0.7500  0.0000  0.6527
Ir  0.7500  0.0000  0.7404
Ir  0.7500  0.5000  0.1745
Ir  0.7500  0.5000  0.2598
Ir  0.7500  0.5000  0.3472
Ir  0.7500  0.5000  0.4345
Ir  0.7500  0.5000  0.5218
Ir  0.7500  0.5000  0.6092
Ir  0.7500  0.5000  0.6965
Ir  0.7500  0.5000  0.7830

=====

- Which of these has the lowest density?
  Sr2CdCoH6